DFT (PBE-GGA) results for a relaxed ErTh3Si4 crystal.

abc: 4.2020 6.2736 8.7278
angles: 111.07 103.93 90.00
Positions (direct):
Th 0.1940 0.1940 0.3880
Th 0.0000 0.5000 0.0000
Th 0.8060 0.8060 0.6120
Si 0.6293 0.4380 0.2586
Si 0.6293 0.8205 0.2585
Si 0.3707 0.5620 0.7414
Si 0.3707 0.1795 0.7415
Er 0.5000 0.0000 0.0000

Summary:
Formation energy without anion corrections in meV/atom: -580.0
N(E_F) in states/eV/atom: 0.682


DFT (PBE-GGA) results for a relaxed Er2Ti3Si4 crystal.

abc: 6.8226 7.0223 7.0062
angles: 90.00 90.00 108.92
Positions (direct):
Ti 0.2508 0.7441 0.1774
Ti 0.0000 0.5000 0.5000
Ti 0.7492 0.2559 0.8226
Ti 0.5000 0.5000 0.0000
Ti 0.7508 0.7441 0.3226
Ti 0.2492 0.2559 0.6774
Si 0.1302 0.9159 0.4611
Si 0.6302 0.9159 0.0389
Si 0.1311 0.5046 0.8747
Si 0.3689 0.4954 0.3747
Si 0.3698 0.0841 0.9611
Si 0.6311 0.5046 0.6253
Si 0.8698 0.0841 0.5389
Si 0.8689 0.4954 0.1253
Er 0.0670 0.1895 0.1691
Er 0.4330 0.8105 0.6691
Er 0.9330 0.8105 0.8309
Er 0.5671 0.1895 0.3309

Summary:
Formation energy without anion corrections in meV/atom: -819.1
N(E_F) in states/eV/atom: 0.905


DFT (PBE-GGA) results for a relaxed Er2Ti3Si4 crystal.

abc: 7.0178 7.0178 12.8959
angles: 90.00 90.00 90.00
Positions (direct):
Er 0.3404 0.0024 0.4666
Er 0.0024 0.3404 0.5334
Er 0.6596 0.9976 0.9666
Er 0.9976 0.6596 0.0334
Er 0.1596 0.5024 0.7834
Er 0.8404 0.4976 0.2834
Er 0.5024 0.1596 0.2166
Er 0.4976 0.8404 0.7166
Ti 0.0070 0.1518 0.1237
Ti 0.6726 0.6726 0.5000
Ti 0.5070 0.3482 0.6263
Ti 0.8482 0.9930 0.3763
Ti 0.3274 0.3274 0.0000
Ti 0.8274 0.1726 0.7500
Ti 0.6518 0.4930 0.8737
Ti 0.1518 0.0070 0.8763
Ti 0.1726 0.8274 0.2500
Ti 0.4930 0.6518 0.1263
Ti 0.3482 0.5070 0.3737
Ti 0.9930 0.8482 0.6237
Si 0.2079 0.4538 0.1852
Si 0.0462 0.7079 0.4352
Si 0.2972 0.6319 0.5661
Si 0.5462 0.7921 0.3148
Si 0.7972 0.8681 0.1839
Si 0.2028 0.1319 0.6839
Si 0.7028 0.3681 0.0661
Si 0.9538 0.2921 0.9352
Si 0.8681 0.7972 0.8161
Si 0.7921 0.5462 0.6852
Si 0.2921 0.9538 0.0648
Si 0.3681 0.7028 0.9339
Si 0.6319 0.2972 0.4339
Si 0.4538 0.2079 0.8148
Si 0.1319 0.2028 0.3161
Si 0.7079 0.0462 0.5648

Summary:
Formation energy without anion corrections in meV/atom: -819.3
N(E_F) in states/eV/atom: 0.910


DFT (PBE-GGA) results for a relaxed Er5Tl2Si2 crystal.

abc: 7.5835 7.6014 8.7284
angles: 90.00 64.25 90.00
Positions (direct):
Si 0.1210 0.3765 0.0000
Si 0.3790 0.8765 0.0000
Si 0.8790 0.6235 0.0000
Si 0.6210 0.1235 0.0000
Er 0.8037 0.8235 0.7534
Er 0.4429 0.1765 0.7534
Er 0.1963 0.1765 0.2466
Er 0.0571 0.6765 0.2466
Er 0.0000 0.0000 0.0000
Er 0.9429 0.3235 0.7534
Er 0.5000 0.5000 0.0000
Er 0.3037 0.6765 0.7534
Er 0.5571 0.8235 0.2466
Er 0.6963 0.3235 0.2466
Tl 0.2206 0.0000 0.5587
Tl 0.2794 0.5000 0.4413
Tl 0.7794 0.0000 0.4413
Tl 0.7206 0.5000 0.5587

Summary:
Formation energy without anion corrections in meV/atom: -543.6
N(E_F) in states/eV/atom: 0.689